1.
This record from Alexandria via LeMat-Bulk describes a relaxed Zr2CuReH crystal. The functional is PBE.

a b c (Å): 4.522 4.522 3.662
angles (deg): 90.00 90.00 90.00
Sites, in units of the cell vectors:
1 Cu 0.500 0.500 0.500
2 Zr 0.000 0.500 0.000
3 H 0.000 0.000 0.000
4 Re 0.000 0.000 0.500
5 Zr 0.500 0.000 0.000

Summary:
Magnetization, μB per formula unit: 0.00
DOS(E_F), states/eV/atom: 0.773
VASP energy, eV/cell: -37.67
Crystal system: tetragonal
Relative energy among the computed polymorphs, meV per atom: 81.3
Space group: P4/mmm

2.
This record from Alexandria via LeMat-Bulk describes a relaxed MgZrPb4 crystal. The functional is PBE.

a b c (Å): 6.332 6.332 6.332
angles (deg): 60.00 60.00 60.00
Site moments in Bohr magnetons follow the coordinates.
Sites, in units of the cell vectors:
1 Pb 0.873 0.376 0.376  0.00
2 Mg 0.000 0.000 0.000  0.00
3 Pb 0.376 0.376 0.376  0.00
4 Pb 0.376 0.873 0.376  0.00
5 Pb 0.376 0.376 0.873  0.00
6 Zr 0.750 0.750 0.750  0.62

Summary:
Magnetization, μB per formula unit: 1.07
DOS(E_F), states/eV/atom: 1.107
VASP energy, eV/cell: -22.66
Crystal system: cubic
Space group: F-43m
Formation energy, eV/f.u.: 2.32

3.
This record from Alexandria via LeMat-Bulk describes a relaxed CaSb crystal. The functional is PBE.

a b c (Å): 6.408 7.034 4.441
angles (deg): 71.60 69.73 40.86
Sites, in units of the cell vectors:
1 Sb 0.494 0.547 0.479
2 Sb 0.423 0.036 0.271
3 Ca 0.981 0.017 0.001
4 Ca 0.936 0.566 0.749

Summary:
Magnetization, μB per formula unit: 0.00
DOS(E_F), states/eV/atom: 0.239
VASP energy, eV/cell: -15.63
Crystal system: monoclinic
Formation energy from raw total energies, eV per atom: -0.846
Space group: C2/m

4.
This record from Alexandria via LeMat-Bulk describes a relaxed RbRe3Pd crystal. The functional is PBE.

a b c (Å): 4.945 4.945 4.945
angles (deg): 90.00 90.00 90.00
Site moments in Bohr magnetons follow the coordinates.
Sites, in units of the cell vectors:
1 Re 0.000 0.000 0.500  1.96
2 Rb 0.500 0.500 0.500  0.04
3 Re 0.500 0.000 0.000  1.35
4 Re 0.000 0.500 0.000  1.69
5 Pd 0.000 0.000 0.000  0.42

Summary:
Magnetization, μB per formula unit: 6.28
DOS(E_F), states/eV/atom: 2.311
VASP energy, eV/cell: -29.83
Crystal system: cubic
Relative energy among the computed polymorphs, meV per atom: 0.0
Space group: Pm-3m
Formation energy, eV/f.u.: 13.68